No. 1
{"formula": "CsCaAsSe2", "functional": "GGA-PBE", "state": "optimized geometry", "m_tot_mub_per_atom": 0.23, "dos_at_fermi_per_ev_atom": 1.27, "sg": "No. 123", "e_form_raw_ev_per_atom": -0.399, "crystal_system": "tetragonal", "relative_energy_ev_per_atom": 0.0000, "cell": [[5.660, 0.000, 0.000], [0.000, 5.660, 0.000], [0.000, 0.000, 5.697]], "species": ["Cs", "As", "Se", "Se", "Ca"], "fractional_positions": [[0.500, 0.500, 0.500], [0.000, 0.000, 0.500], [0.000, 0.500, 0.000], [0.500, 0.000, 0.000], [0.000, 0.000, 0.000]]}

***

No. 2
{"formula": "CsCaSiAs2", "functional": "GGA-PBE", "state": "optimized geometry", "m_tot_mub_per_atom": 0.00, "dos_at_fermi_per_ev_atom": 0.56, "sg": "No. 67", "e_form_raw_ev_per_atom": -0.324, "crystal_system": "orthorhombic", "cell": [[-2.272, 2.077, 4.687], [-3.728, -6.618, 1.126], [8.123, 0.511, 3.710]], "species": ["As", "As", "As", "As", "Cs", "Cs", "Si", "Si", "Ca", "Ca"], "fractional_positions": [[0.758, 0.611, 0.221], [0.242, 0.111, 0.221], [0.758, 0.889, 0.779], [0.242, 0.389, 0.779], [0.256, 0.750, 0.500], [0.744, 0.250, 0.500], [0.000, 0.500, 0.000], [0.000, 0.000, 0.000], [0.500, 0.750, 0.000], [0.500, 0.250, 0.000]]}

***

No. 3
{"formula": "CsCaTa2As", "functional": "GGA-PBE", "state": "optimized geometry", "m_tot_mub_per_atom": 0.00, "formation_enthalpy_0k_ev_per_fu": 4.64, "dos_at_fermi_per_ev_atom": 1.45, "sg": "No. 123", "crystal_system": "tetragonal", "cell": [[4.971, 0.000, 0.000], [0.000, 5.828, 0.000], [0.000, 0.000, 4.971]], "species": ["Ta", "Ta", "As", "Cs", "Ca"], "fractional_positions": [[0.500, 0.000, 0.000], [0.000, 0.000, 0.500], [0.000, 0.000, 0.000], [0.500, 0.500, 0.500], [0.000, 0.500, 0.000]]}